# 1
A crystal of Zn5Pt relaxed with PBEsol. Source: Alexandria, functional meta-GGA SCAN.

Values from the calculation:
**Raw total energy**: -139.39 eV/cell
**E_form**: -0.27 eV per atom
**Spin magnetization**: 0.000 μB per atom

a b c (Å): 3.778 3.814 6.040
angles (deg): 71.59 90.00 90.00
Element x y z (fractional)
Zn 0.500 0.331 0.337
Zn 0.000 0.165 0.669
Zn 0.500 0.000 0.000
Zn 0.000 0.835 0.331
Zn 0.500 0.669 0.663
Pt 0.000 0.500 0.000



# 2
A crystal of SrPb relaxed with PBEsol. Source: Alexandria, functional meta-GGA SCAN.

Values from the calculation:
**Raw total energy**: -196.69 eV/cell
**E_form**: -0.14 eV per atom
**Spin magnetization**: 0.000 μB per atom

a b c (Å): 5.812 5.812 6.628
angles (deg): 90.00 90.00 120.00
Element x y z (fractional)
Pb 0.667 0.333 0.250
Pb 0.333 0.667 0.750
Sr 0.667 0.333 0.750
Sr 0.333 0.667 0.250



# 3
A crystal of RbCoTeI2 relaxed with PBEsol. Source: Alexandria, functional meta-GGA SCAN.

Values from the calculation:
**Raw total energy**: -144.52 eV/cell
**Spin magnetization**: 1.205 μB per atom
**Uncorrected formation energy**: 0.852 eV/atom

a b c (Å): 6.409 6.562 6.562
angles (deg): 90.00 90.00 90.00
Element x y z (fractional)
I 0.000 0.000 0.500
I 0.000 0.500 0.000
Te 0.500 0.000 0.000
Co 0.500 0.500 0.500
Rb 0.000 0.000 0.000